## AcTiZnPt2 (PBE-GGA)

Data for a relaxed structure of AcTiZnPt2.

Cell lengths 4.1634, 4.1634, 6.7223 Å; angles 108.04, 108.04, 90.00 degrees
Fractional positions:
1 Ac 0.0000 0.0000 0.0000
2 Ti 0.2500 0.7500 0.5000
3 Zn 0.7500 0.2500 0.5000
4 Pt 0.6165 0.6165 0.2329
5 Pt 0.3835 0.3835 0.7671

---

## Ac4Tl2Pt (PBE-GGA)

Data for a relaxed structure of Ac4Tl2Pt.

Cell lengths 4.2714, 7.1761, 9.6926 Å; angles 113.17, 102.73, 90.00 degrees
Fractional positions:
1 Ac 0.9084 0.2496 0.8168
2 Ac 0.0916 0.7504 0.1832
3 Ac 0.6159 0.2670 0.2319
4 Ac 0.3841 0.7330 0.7681
5 Tl 0.7423 0.8012 0.4846
6 Tl 0.2577 0.1988 0.5154
7 Pt 0.0000 0.0000 0.0000

Calculated values
The energy relative to the lowest polymorph listed for this composition is 64 meV per atom.

---

Quick rundown of VASP energy, same order as above: -5.9142; -4.3545 eV per atom
Quick rundown of formation enthalpy at 0 K, same order as above: -0.842; -0.468 eV per atom